VASP calculation (PBE) on Mg4Tl after structural relaxation.

abc: 5.781 5.781 5.781
angles: 109.47 109.47 109.47
Atoms (fractional coordinates):
Mg1 0.000 0.000 0.500
Mg2 0.000 0.500 0.000
Mg3 0.500 0.000 0.000
Mg4 0.500 0.500 0.500
Tl1 0.000 0.000 0.000

Formation enthalpy at 0 K: 308 meV per atom
Total magnetic moment: 0.00 μB per formula unit
Space-group type: Im-3m (229)
Calculated density: 3.4 g cm⁻³